Entry 1:
Computed, not measured: an optimized crystal structure of KAgGeTe3 at the GGA-PBE level of DFT.

Results
total energy = -3.2417 eV/atom

a = 3.8318 Å, b = 16.2976 Å, c = 11.7365 Å
α = 90.00°, β = 90.00°, γ = 90.00°
Closest atoms and distances in Å follow each position.
Space group Cmcm (No. 63)
Asymmetric unit:
K 0.0000 0.2458 0.2500  2 Ag 3.57, 8 Te 3.59-3.80, 2 K 3.83
Ag 0.0000 0.0691 0.7500  4 Te 2.76-2.84
Ge 0.0000 0.5000 0.0000  6 Te 2.88-3.09
Te 0.0000 0.1302 0.5303  1 Ag 2.76, 2 Ge 2.88
Te 0.0000 0.4407 0.7500  2 Ag 2.84, 2 Ge 3.09

***

Entry 2:
Computed, not measured: an optimized crystal structure of KAg3GeTe4 at the GGA-PBE level of DFT.

Results
total energy = -3.1421 eV/atom

a = 6.9963 Å, b = 6.9963 Å, c = 6.9963 Å
α = 90.00°, β = 90.00°, γ = 90.00°
Closest atoms and distances in Å follow each position.
Space group P-43m (No. 215)
Asymmetric unit:
K 0.0000 0.0000 0.0000  4 Te 3.45
Ag 0.0000 0.5000 0.5000  4 Te 2.92
Ge 0.5000 0.5000 0.5000  4 Te 2.60
Te 0.2850 0.2850 0.2850  1 Ge 2.60, 3 Ag 2.92

***

Entry 3:
Computed, not measured: an optimized crystal structure of LaAgGe at the GGA-PBE level of DFT.

Results
total energy = -4.7778 eV/atom
size of the total moment = 0.000 μB per atom

a = 4.6073 Å, b = 4.6073 Å, c = 7.8790 Å
α = 90.00°, β = 90.00°, γ = 120.00°
Closest atoms and distances in Å follow each position.
Space group P6_3mc (No. 186)
Asymmetric unit:
La 0.0000 0.0000 0.0000  6 Ge 3.13-3.50, 6 Ag 3.22-3.40
Ag 0.3333 0.6667 0.2691  3 Ge 2.70
Ge 0.3333 0.6667 0.7104  3 Ag 2.70

***

Entry 4:
Computed, not measured: an optimized crystal structure of LaAgGe at the GGA-PBE level of DFT.

Results
total energy = -4.4338 eV/atom
size of the total moment = 0.000 μB per atom

a = 8.1469 Å, b = 8.1469 Å, c = 4.0055 Å
α = 90.00°, β = 90.00°, γ = 120.00°
Closest atoms and distances in Å follow each position.
Space group P-62m (No. 189)
Asymmetric unit:
La 0.0000 0.2795 0.0000  4 Ge 2.96-3.03
Ag 0.0000 0.6198 0.5000  5 Ge 3.10-3.24, 6 La 3.42-3.43
Ge 0.0000 0.0000 0.5000  6 La 3.03, 3 Ag 3.10
Ge 0.3333 0.6667 0.0000  3 La 2.96, 6 Ag 3.24

***

Entry 5:
Computed, not measured: an optimized crystal structure of LaAgGe at the GGA-PBE level of DFT.

Results
total energy = -4.7674 eV/atom
size of the total moment = 0.000 μB per atom

a = 7.4524 Å, b = 7.4524 Å, c = 4.4327 Å
α = 90.00°, β = 90.00°, γ = 120.00°
Closest atoms and distances in Å follow each position.
Space group P-62m (No. 189)
Asymmetric unit:
La 0.0000 0.5845 0.0000  5 Ge 3.10-3.15, 2 Ag 3.35
Ag 0.0000 0.2466 0.5000  4 Ge 2.86-2.88, 2 Ag 3.18
Ge 0.0000 0.0000 0.0000  6 Ag 2.88, 3 La 3.10
Ge 0.3333 0.6667 0.5000  3 Ag 2.86, 6 La 3.15

***

Entry 6:
Computed, not measured: an optimized crystal structure of La3Ag2Ge4 at the GGA-PBE level of DFT.

Results
total energy = -5.0099 eV/atom
size of the total moment = 0.000 μB per atom

a = 11.3894 Å, b = 4.4941 Å, c = 8.7431 Å
α = 90.00°, β = 103.25°, γ = 90.00°
Closest atoms and distances in Å follow each position.
Space group C2/m (No. 12)
Asymmetric unit:
La 0.0000 0.0000 0.0000  8 Ge 3.26-3.39, 4 Ag 3.36
La 0.1629 0.5000 0.6701  8 Ge 3.17-3.43, 4 Ag 3.28-3.35
Ag 0.1139 0.5000 0.2806  3 Ge 2.58-2.59
Ge 0.0641 0.0000 0.3981  1 Ge 2.55, 2 Ag 2.59
Ge 0.2118 0.5000 0.0423  2 Ge 2.58, 1 Ag 2.58

***

Entry 7:
Computed, not measured: an optimized crystal structure of LaAgGe at the GGA-PBE level of DFT.

Results
total energy = -4.5426 eV/atom
size of the total moment = 0.003 μB per atom

a = 7.5641 Å, b = 7.5641 Å, c = 4.3556 Å
α = 90.00°, β = 90.00°, γ = 120.00°
Closest atoms and distances in Å follow each position.
Space group P-62m (No. 189)
Asymmetric unit:
La 0.0000 0.5995 0.0000  5 Ag 3.03-3.17, 2 Ge 3.38
Ag 0.0000 0.0000 0.0000  6 Ge 2.93, 3 La 3.03
Ag 0.3333 0.6667 0.5000  3 Ge 2.85, 6 La 3.17
Ge 0.0000 0.2586 0.5000  4 Ag 2.85-2.93

***

Entry 8:
Computed, not measured: an optimized crystal structure of LiLaAg2Ge at the GGA-PBE level of DFT.

Results
total energy = -3.7549 eV/atom
size of the total moment = 0.002 μB per atom

a = 4.4753 Å, b = 4.4753 Å, c = 10.5286 Å
α = 90.00°, β = 90.00°, γ = 90.00°
Closest atoms and distances in Å follow each position.
Space group I4mm (No. 107)
Asymmetric unit:
Li 0.0000 0.0000 0.0000  1 Ge 2.43, 4 Ag 2.61
La 0.0000 0.0000 0.6329  4 Ge 3.33, 8 Ag 3.37-3.54, 4 Li 3.46
Ag 0.0000 0.5000 0.3723  2 Li 2.61, 2 Ge 2.69
Ge 0.0000 0.0000 0.2308  1 Li 2.43, 4 Ag 2.69

***

Entry 9:
Computed, not measured: an optimized crystal structure of LaMgAgGe2 at the GGA-PBE level of DFT.

Results
total energy = -4.2406 eV/atom
size of the total moment = 0.001 μB per atom

a = 4.3280 Å, b = 4.3280 Å, c = 11.6027 Å
α = 90.00°, β = 90.00°, γ = 90.00°
Closest atoms and distances in Å follow each position.
Space group I-4m2 (No. 119)
Asymmetric unit:
La 0.0000 0.0000 0.0000  8 Ge 3.31, 4 Mg 3.62, 4 Ag 3.62
Mg 0.0000 0.5000 0.2500  4 Ge 2.72
Ag 0.0000 0.5000 0.7500  4 Ge 2.72
Ge 0.0000 0.0000 0.3916  1 Ge 2.52, 2 Mg 2.72, 2 Ag 2.72

***

Entry 10:
Computed, not measured: an optimized crystal structure of LaAgGeO3 at the GGA-PBE level of DFT.

Results
total energy = -6.2742 eV/atom
size of the total moment = 0.000 μB per atom

a = 4.0711 Å, b = 9.5188 Å, c = 9.7730 Å
α = 90.00°, β = 90.00°, γ = 90.00°
Closest atoms and distances in Å follow each position.
Space group Cmcm (No. 63)
Asymmetric unit:
La 0.0000 0.0000 0.0000  6 O 2.51-2.52
Ag 0.0000 0.2920 0.2500  1 O 2.19, 1 Ge 2.39
Ge 0.0000 0.4565 0.7500  2 O 1.82
O 0.0000 0.0620 0.2500  2 Ge 2.04, 1 Ag 2.19
O 0.0000 0.3699 0.5837  1 Ge 1.82

***

Entry 11:
Computed, not measured: an optimized crystal structure of LaAg2GeO at the GGA-PBE level of DFT.

Results
total energy = -4.7982 eV/atom
size of the total moment = 0.000 μB per atom

a = 3.7518 Å, b = 3.7518 Å, c = 14.1516 Å
α = 90.00°, β = 90.00°, γ = 90.00°
Closest atoms and distances in Å follow each position.
Space group I4mm (No. 107)
Asymmetric unit:
La 0.0000 0.0000 0.0000  4 O 2.65
Ag 0.0000 0.5000 0.2899  4 Ag 2.65, 2 Ge 2.82
Ge 0.0000 0.0000 0.6414  1 O 2.04
O 0.0000 0.0000 0.4973  1 Ge 2.04

***

Entry 12:
Computed, not measured: an optimized crystal structure of La2AgGe2Pd at the GGA-PBE level of DFT.

Results
total energy = -5.3014 eV/atom
size of the total moment = 0.002 μB per atom

a = 4.4499 Å, b = 4.4499 Å, c = 8.3407 Å
α = 90.00°, β = 90.00°, γ = 120.00°
Closest atoms and distances in Å follow each position.
Space group P-6m2 (No. 187)
Asymmetric unit:
La 0.0000 0.0000 0.2405  6 Ge 3.26-3.36, 3 Pd 3.26, 3 Ag 3.36
Ag 0.6667 0.3333 0.5000  3 Ge 2.57
Ge 0.3333 0.6667 0.5000  3 Ag 2.57
Ge 0.6667 0.3333 0.0000  3 Pd 2.57
Pd 0.3333 0.6667 0.0000  3 Ge 2.57